Entry from Alexandria via LeMat-Bulk: SmTaAs2 after structural relaxation (PBE).

Structure (CIF):
```
data_SmTaAs2
_symmetry_space_group_name_H-M 'P 1'
_symmetry_Int_Tables_number 1
_cell_length_a 6.8515
_cell_length_b 6.8515
_cell_length_c 6.8515
_cell_angle_alpha 33.32
_cell_angle_beta 33.32
_cell_angle_gamma 33.32
loop_
_symmetry_equiv_pos_as_xyz
'x,y,z'
loop_
_atom_site_label
_atom_site_fract_x
_atom_site_fract_y
_atom_site_fract_z
Sm1 0.0000 0.0000 0.0000
Ta1 0.5000 0.5000 0.5000
As1 0.2394 0.2394 0.2394
As2 0.7607 0.7607 0.7607
```

Formation energy   -0.81 eV/atom
DOS(E_F)   1.94 states/eV per cell

=====

Entry from Alexandria via LeMat-Bulk: TbSmAs2 after structural relaxation (PBE).

Structure (CIF):
```
data_TbSmAs2
_symmetry_space_group_name_H-M 'P 1'
_symmetry_Int_Tables_number 1
_cell_length_a 7.2350
_cell_length_b 7.2350
_cell_length_c 7.2350
_cell_angle_alpha 131.83
_cell_angle_beta 131.83
_cell_angle_gamma 70.49
loop_
_symmetry_equiv_pos_as_xyz
'x,y,z'
loop_
_atom_site_label
_atom_site_fract_x
_atom_site_fract_y
_atom_site_fract_z
Tb1 0.3750 0.6250 0.7500
Tb2 0.6250 0.3750 0.2500
Sm1 0.1250 0.8750 0.2500
Sm2 0.8750 0.1250 0.7500
As1 0.1269 0.3769 0.7500
As2 0.3769 0.1269 0.2500
As3 0.6231 0.8731 0.7500
As4 0.8731 0.6231 0.2500
```

Formation energy   -1.53 eV/atom
DOS(E_F)   0.90 states/eV per cell
Energy relative to the lowest polymorph listed for this composition   0.00 kcal/mol of atoms

=====

Please write out number 1 again, unchanged.
Entry from Alexandria via LeMat-Bulk: SmTaAs2 after structural relaxation (PBE).

Structure (CIF):
```
data_SmTaAs2
_symmetry_space_group_name_H-M 'P 1'
_symmetry_Int_Tables_number 1
_cell_length_a 6.8515
_cell_length_b 6.8515
_cell_length_c 6.8515
_cell_angle_alpha 33.32
_cell_angle_beta 33.32
_cell_angle_gamma 33.32
loop_
_symmetry_equiv_pos_as_xyz
'x,y,z'
loop_
_atom_site_label
_atom_site_fract_x
_atom_site_fract_y
_atom_site_fract_z
Sm1 0.0000 0.0000 0.0000
Ta1 0.5000 0.5000 0.5000
As1 0.2394 0.2394 0.2394
As2 0.7607 0.7607 0.7607
```

Formation energy   -0.81 eV/atom
DOS(E_F)   1.94 states/eV per cell

=====

Question: What is the formula in the second record?
Answer: TbSmAs2

=====

Repeat the second record exactly.
Entry from Alexandria via LeMat-Bulk: TbSmAs2 after structural relaxation (PBE).

Structure (CIF):
```
data_TbSmAs2
_symmetry_space_group_name_H-M 'P 1'
_symmetry_Int_Tables_number 1
_cell_length_a 7.2350
_cell_length_b 7.2350
_cell_length_c 7.2350
_cell_angle_alpha 131.83
_cell_angle_beta 131.83
_cell_angle_gamma 70.49
loop_
_symmetry_equiv_pos_as_xyz
'x,y,z'
loop_
_atom_site_label
_atom_site_fract_x
_atom_site_fract_y
_atom_site_fract_z
Tb1 0.3750 0.6250 0.7500
Tb2 0.6250 0.3750 0.2500
Sm1 0.1250 0.8750 0.2500
Sm2 0.8750 0.1250 0.7500
As1 0.1269 0.3769 0.7500
As2 0.3769 0.1269 0.2500
As3 0.6231 0.8731 0.7500
As4 0.8731 0.6231 0.2500
```

Formation energy   -1.53 eV/atom
DOS(E_F)   0.90 states/eV per cell
Energy relative to the lowest polymorph listed for this composition   0.00 kcal/mol of atoms